The following is a DFT calculation (GGA-PBE) of a relaxed structure of Ca2ZnRh.

D(E_F), states/eV/f.u.: 2.7
Calculated formation energy, eV/atom: -0.3884
Calculated total energy, eV for the cell shown: -14.182

POSCAR file:
```
Ca2ZnRh
1.0
4.2858 0.0000 0.0000
0.0000 2.1012 5.3999
0.0000 -2.1012 5.3999
Ca Zn Rh
2 1 1
Direct
0.0000 0.0000 0.0000 Ca
0.5000 0.2832 0.2832 Ca
0.0000 0.7037 0.7037 Zn
0.5000 0.5804 0.5804 Rh
```